No. 1
VASP calculation (PBE-GGA) on a relaxed structure of AgPt3Se.

Results
energy relative to the elements, uncorrected = 534.5 meV/atom
Fermi-level density of states = 0.43 states/eV per atom

Lattice parameters (Å, degrees): 4.688 4.688 4.688 90.00 90.00 90.00
Positions (direct):
Ag1 0.500 0.500 0.500
Pt1 0.000 0.500 0.000
Pt2 0.500 0.000 0.000
Se1 0.000 0.000 0.000
Pt3 0.000 0.000 0.500

No. 2
VASP calculation (PBE-GGA) on a relaxed structure of ScTaNi.

Results
DFT formation energy = -146 meV per atom
Fermi-level density of states = 1.25 states/eV per atom

Lattice parameters (Å, degrees): 5.822 5.821 3.075 74.69 74.68 30.63
Positions (direct):
Sc1 0.342 0.342 0.658
Ni1 0.011 0.011 0.989
Ta1 0.647 0.647 0.353

No. 3
VASP calculation (PBE-GGA) on a relaxed structure of K2NaCdBr5.

Results
energy relative to the elements, uncorrected = -1398.5 meV/atom
Fermi-level density of states = 0.00 states/eV per atom

Lattice parameters (Å, degrees): 4.460 9.606 14.216 90.00 90.00 103.42
Positions (direct):
Br1 0.674 0.348 0.884
Br2 0.488 0.976 0.767
Br3 0.378 0.755 0.997
Na1 0.786 0.572 0.524
Br4 0.718 0.435 0.162
Br5 0.951 0.901 0.549
Cd1 0.528 0.056 0.945
Na2 0.214 0.428 0.024
K1 0.888 0.776 0.185
Br6 0.622 0.245 0.497
K2 0.112 0.224 0.685
Br7 0.282 0.565 0.662
Br8 0.512 0.024 0.267
K3 0.150 0.301 0.310
Br9 0.326 0.652 0.384
Br10 0.049 0.099 0.049
Cd2 0.472 0.944 0.445
K4 0.850 0.699 0.810

- Among the records above, which one has the lowest Fermi-level density of states?
  K2NaCdBr5